(1)
RbSrTl4Pd2 | GGA-PBE | relaxed

Calculated values
symmetry: No. 38
total DFT energy (no corrections): -3.076 eV/atom

Lattice parameters (Å, degrees): 8.575 6.131 6.131 43.03 90.00 90.00
Element x y z (fractional)
Rb 0.000 0.000 0.000
Sr 0.500 0.875 0.875
Tl 0.199 0.288 0.288
Tl 0.304 0.587 0.587
Tl 0.696 0.587 0.587
Tl 0.801 0.288 0.288
Pd 0.000 0.722 0.722
Pd 0.500 0.159 0.159


(2)
LiHfPt2 | GGA-PBE | relaxed

Calculated values
M_tot: 0.01 μB per cell
ΔE to the lowest computed polymorph: 17 kJ/mol of formula units
symmetry: No. 194

Lattice parameters (Å, degrees): 4.224 4.224 8.597 90.00 90.00 120.00
Element x y z (fractional)
Li 0.000 0.000 0.000
Li 0.000 0.000 0.500
Hf 0.333 0.667 0.250
Hf 0.667 0.333 0.750
Pt 0.333 0.667 0.592
Pt 0.333 0.667 0.908
Pt 0.667 0.333 0.092
Pt 0.667 0.333 0.408


(3)
Sm2Y2CBr4Cl | GGA-PBE | relaxed

Calculated values
M_tot: 0.15 μB per cell
ΔE to the lowest computed polymorph: 7 kJ/mol of formula units
symmetry: No. 12

Lattice parameters (Å, degrees): 9.198 9.198 7.965 103.41 103.41 23.92
Element x y z (fractional)
Sm 0.141 0.141 0.079
Sm 0.859 0.859 0.921
Y 0.500 0.500 0.208
Y 0.500 0.500 0.792
C 0.000 0.000 0.000
Br 0.332 0.332 0.183
Br 0.338 0.338 0.639
Br 0.662 0.662 0.361
Br 0.668 0.668 0.817
Cl 0.000 0.000 0.500


(4)
SmGdMg6 | GGA-PBE | relaxed

Calculated values
M_tot: 0.01 μB per cell
symmetry: No. 25
total DFT energy (no corrections): -2.429 eV/atom

Lattice parameters (Å, degrees): 5.200 7.354 5.201 90.00 90.00 90.00
Element x y z (fractional)
Sm 0.000 0.000 0.000
Gd 0.500 0.500 0.493
Mg 0.000 0.253 0.500
Mg 0.000 0.500 0.000
Mg 0.000 0.747 0.500
Mg 0.500 0.000 0.494
Mg 0.500 0.253 0.992
Mg 0.500 0.747 0.992


(5)
Co3SnPd3 | GGA-PBE | relaxed

Calculated values
M_tot: 16.77 μB per cell
ΔE to the lowest computed polymorph: 0 kJ/mol of formula units
symmetry: No. 164

Lattice parameters (Å, degrees): 5.557 5.557 12.090 90.00 90.00 120.00
Element x y z (fractional)
Co 0.000 0.500 0.000
Co 0.142 0.285 0.124
Co 0.142 0.858 0.124
Co 0.285 0.142 0.876
Co 0.500 0.000 0.000
Co 0.500 0.500 0.000
Co 0.715 0.858 0.124
Co 0.858 0.142 0.876
Co 0.858 0.715 0.876
Sn 0.000 0.000 0.500
Sn 0.333 0.667 0.299
Sn 0.667 0.333 0.701
Pd 0.000 0.500 0.500
Pd 0.169 0.337 0.698
Pd 0.169 0.831 0.698
Pd 0.337 0.169 0.302
Pd 0.500 0.000 0.500
Pd 0.500 0.500 0.500
Pd 0.663 0.831 0.698
Pd 0.831 0.169 0.302
Pd 0.831 0.663 0.302


(6)
NaGdAuSe3 | GGA-PBE | relaxed

Calculated values
M_tot: 0.02 μB per cell
symmetry: No. 63
total DFT energy (no corrections): -4.319 eV/atom

Lattice parameters (Å, degrees): 7.434 7.434 10.619 90.00 90.00 148.62
Element x y z (fractional)
Na 0.230 0.770 0.750
Na 0.770 0.230 0.250
Gd 0.000 0.000 0.000
Gd 0.000 0.000 0.500
Au 0.475 0.525 0.250
Au 0.525 0.475 0.750
Se 0.094 0.906 0.250
Se 0.360 0.640 0.061
Se 0.360 0.640 0.439
Se 0.640 0.360 0.561
Se 0.640 0.360 0.939
Se 0.906 0.094 0.750


(7)
LiHfTaFe | GGA-PBE | relaxed

Calculated values
M_tot: 0.01 μB per cell
ΔE to the lowest computed polymorph: 121 kJ/mol of formula units
symmetry: No. 216

Lattice parameters (Å, degrees): 4.425 4.425 4.425 60.00 60.00 60.00
Element x y z (fractional)
Li 0.000 0.000 0.000
Hf 0.750 0.750 0.750
Ta 0.500 0.500 0.500
Fe 0.250 0.250 0.250


(8)
Cu2Ag3 | GGA-PBE | relaxed

Calculated values
ΔE to the lowest computed polymorph: 20 kJ/mol of formula units
formation energy from the elements: 73 meV/atom
symmetry: No. 12

Lattice parameters (Å, degrees): 4.919 4.919 11.717 99.21 99.21 33.68
Element x y z (fractional)
Cu 0.172 0.172 0.057
Cu 0.240 0.240 0.765
Cu 0.760 0.760 0.235
Cu 0.828 0.828 0.943
Ag 0.061 0.061 0.336
Ag 0.352 0.352 0.441
Ag 0.458 0.458 0.128
Ag 0.542 0.542 0.872
Ag 0.648 0.648 0.559
Ag 0.939 0.939 0.664


(9)
UTaSb | GGA-PBE | relaxed

Calculated values
M_tot: 0.96 μB per cell
symmetry: No. 216
total DFT energy (no corrections): -7.946 eV/atom

Lattice parameters (Å, degrees): 4.821 4.821 4.821 60.00 60.00 60.00
Element x y z (fractional)
U 0.000 0.000 0.000
Ta 0.250 0.250 0.250
Sb 0.750 0.750 0.750


(10)
Zr2Be2Au | GGA-PBE | relaxed

Calculated values
M_tot: 0.01 μB per cell
symmetry: No. 127
total DFT energy (no corrections): -5.974 eV/atom

Lattice parameters (Å, degrees): 6.407 6.407 3.849 90.00 90.00 90.00
Element x y z (fractional)
Zr 0.171 0.329 0.000
Zr 0.329 0.829 0.000
Zr 0.671 0.171 0.000
Zr 0.829 0.671 0.000
Be 0.124 0.624 0.500
Be 0.376 0.124 0.500
Be 0.624 0.876 0.500
Be 0.876 0.376 0.500
Au 0.000 0.000 0.500
Au 0.500 0.500 0.500


(11)
Nd2CuSi | GGA-PBE | relaxed

Calculated values
M_tot: 0.05 μB per cell
symmetry: No. 11
total DFT energy (no corrections): -5.104 eV/atom

Lattice parameters (Å, degrees): 5.821 4.008 8.220 90.00 92.25 90.00
Element x y z (fractional)
Nd 0.128 0.250 0.181
Nd 0.372 0.250 0.679
Nd 0.628 0.750 0.321
Nd 0.872 0.750 0.819
Cu 0.119 0.750 0.468
Cu 0.881 0.250 0.532
Si 0.376 0.750 0.966
Si 0.624 0.250 0.034


(12)
CsReTe | GGA-PBE | relaxed

Calculated values
M_tot: 5.54 μB per cell
symmetry: No. 216
total DFT energy (no corrections): -3.800 eV/atom

Lattice parameters (Å, degrees): 5.738 5.738 5.738 60.00 60.00 60.00
Element x y z (fractional)
Cs 0.000 0.000 0.000
Re 0.500 0.500 0.500
Te 0.250 0.250 0.250


(13)
YMgCu | GGA-PBE | relaxed

Calculated values
M_tot: 0.03 μB per cell
ΔE to the lowest computed polymorph: 46 kJ/mol of formula units
symmetry: No. 189

Lattice parameters (Å, degrees): 7.691 7.691 3.936 90.00 90.00 120.00
Element x y z (fractional)
Y 0.000 0.268 0.000
Y 0.268 0.000 0.000
Y 0.732 0.732 0.000
Mg 0.000 0.606 0.500
Mg 0.394 0.394 0.500
Mg 0.606 0.000 0.500
Cu 0.000 0.000 0.500
Cu 0.333 0.667 0.000
Cu 0.667 0.333 0.000


(14)
CuNiBiIr | GGA-PBE | relaxed

Calculated values
M_tot: 0.00 μB per cell
symmetry: No. 216
total DFT energy (no corrections): -5.189 eV/atom

Lattice parameters (Å, degrees): 4.461 4.461 4.461 60.00 60.00 60.00
Element x y z (fractional)
Cu 0.000 0.000 0.000
Ni 0.500 0.500 0.500
Bi 0.750 0.750 0.750
Ir 0.250 0.250 0.250


(15)
Th2NiB10 | GGA-PBE | relaxed

Calculated values
M_tot: 0.02 μB per cell
symmetry: No. 55
total DFT energy (no corrections): -7.303 eV/atom

Lattice parameters (Å, degrees): 5.642 11.199 4.174 90.00 90.00 90.00
Element x y z (fractional)
Th 0.194 0.137 0.000
Th 0.306 0.637 0.000
Th 0.694 0.363 0.000
Th 0.806 0.863 0.000
Ni 0.000 0.500 0.500
Ni 0.500 0.000 0.500
B 0.037 0.312 0.500
B 0.125 0.959 0.500
B 0.152 0.803 0.500
B 0.202 0.386 0.200
B 0.202 0.386 0.800
B 0.298 0.886 0.200
B 0.298 0.886 0.800
B 0.348 0.303 0.500
B 0.375 0.459 0.500
B 0.463 0.812 0.500
B 0.537 0.188 0.500
B 0.625 0.541 0.500
B 0.652 0.697 0.500
B 0.702 0.114 0.200
B 0.702 0.114 0.800
B 0.798 0.614 0.200
B 0.798 0.614 0.800
B 0.848 0.197 0.500
B 0.875 0.041 0.500
B 0.963 0.688 0.500


(16)
Rb2PdSe2 | GGA-PBE | relaxed

Calculated values
symmetry: No. 71
total DFT energy (no corrections): -3.701 eV/atom

Lattice parameters (Å, degrees): 6.656 6.656 6.656 146.38 110.13 79.82
Element x y z (fractional)
Rb 0.197 0.197 0.000
Rb 0.803 0.803 0.000
Pd 0.500 0.000 0.500
Se 0.286 0.500 0.786
Se 0.714 0.500 0.214


(17)
GaFeAg | GGA-PBE | relaxed

Calculated values
M_tot: 2.54 μB per cell
ΔE to the lowest computed polymorph: 0 kJ/mol of formula units
symmetry: No. 216

Lattice parameters (Å, degrees): 4.216 4.216 4.216 60.00 60.00 60.00
Element x y z (fractional)
Ga 0.000 0.000 0.000
Fe 0.750 0.750 0.750
Ag 0.500 0.500 0.500